(1)
## MgNbSCl2 (PBE)

Data for a relaxed structure of MgNbSCl2.

Geometry as extended XYZ:
```
5
Lattice="4.6122 0.0000 0.0000 0.0000 4.6122 0.0000 0.0000 0.0000 5.1946" Properties=species:S:1:pos:R:3 pbc="T T T"
Mg 0.0000 0.0000 0.0000
Nb 2.3061 2.3061 2.5973
S 0.0000 0.0000 2.5973
Cl 0.0000 2.3061 0.0000
Cl 2.3061 0.0000 0.0000
```

Properties
- Calculated total energy: -4.1696 eV/atom
- Offset from the most stable computed form: 266 meV per atom
- Raw formation energy: -0.2725 eV per atom

---

(2)
## ZrPaZnRe (PBE)

Data for a relaxed structure of ZrPaZnRe.

Geometry as extended XYZ:
```
4
Lattice="0.0000 3.4169 3.4169 3.4169 0.0000 3.4169 3.4169 3.4169 0.0000" Properties=species:S:1:pos:R:3 pbc="T T T"
Zr 0.0000 0.0000 0.0000
Pa 3.4169 3.4169 3.4169
Zn 1.7085 1.7085 1.7085
Re 5.1254 5.1254 5.1254
```

Properties
- Calculated total energy: -7.9716 eV/atom
- Formation enthalpy at 0 K: -0.030 eV/atom

---

Number 1: calculated volume 22.1 Å³ per atom, M_tot 3.0 μB per formula unit. Number 2: calculated volume 19.9 Å³ per atom, M_tot 0.0 μB per formula unit.